# CdAgClF2

CdAgClF2 after structural relaxation (PBE-GGA, the Alexandria database).

abc: 4.303 4.303 5.512
angles: 90.00 90.00 90.00
Positions (direct):
1 Cd 0.000 0.000 0.000
2 Ag 0.500 0.500 0.500
3 Cl 0.000 0.000 0.500
4 F 0.000 0.500 0.000
5 F 0.500 0.000 0.000

## Properties
Its energy above the lowest structure with this stoichiometry is 85 meV/atom. As for the energy relative to the elements, uncorrected: -1.290 eV per atom. As for the space group: P4/mmm. For the calculated volume, the calculation gives 20.41 A^3/atom.